No. 1
The following is a PBE calculation of Y4NiI5 after structural relaxation, from Alexandria via LeMat-Bulk.

Summary:
SG: C2/m
M_tot, Bohr magnetons per cell: 0.00
DOS(E_F), states/eV per atom: 0.4227
Calculated density, g cm⁻³: 5.06
Energy relative to the elements, uncorrected, eV/atom: -1.064

Unit cell a=4.092 b=8.877 c=9.916 alpha=102.38 beta=101.91 gamma=90.00
Fractional positions:
Y (0.640, 0.073, 0.281)
Y (0.000, 0.200, 0.000)
Y (0.360, 0.927, 0.719)
Y (0.000, 0.800, 0.000)
Ni (0.500, 0.000, 0.000)
I (0.168, 0.344, 0.335)
I (0.177, 0.830, 0.353)
I (0.823, 0.170, 0.647)
I (0.500, 0.500, 0.000)
I (0.832, 0.656, 0.665)

=====

No. 2
The following is a PBE calculation of LiCa4Co after structural relaxation, from Alexandria via LeMat-Bulk.

Summary:
SG: F-43m
M_tot, Bohr magnetons per cell: 1.39
DOS(E_F), states/eV per atom: 1.8479
Calculated density, g cm⁻³: 1.72
Energy relative to the elements, eV per atom: 0.793

Unit cell a=6.756 b=6.756 c=6.756 alpha=60.00 beta=60.00 gamma=60.00
Fractional positions:
Li (0.000, 0.000, 0.000)
Ca (0.874, 0.375, 0.375)
Ca (0.375, 0.375, 0.874)
Ca (0.375, 0.874, 0.375)
Ca (0.375, 0.375, 0.375)
Co (0.750, 0.750, 0.750)

=====

No. 3
The following is a PBE calculation of PmSm4Pt2 after structural relaxation, from Alexandria via LeMat-Bulk.

Summary:
SG: P2_1/m
M_tot, Bohr magnetons per cell: 0.00
DOS(E_F), states/eV per atom: 1.1707
Calculated density, g cm⁻³: 9.56
Energy relative to the elements, eV per atom: -0.622

Unit cell a=6.609 b=7.885 c=8.235 alpha=113.14 beta=90.00 gamma=90.00
Fractional positions:
Pm (0.250, 0.850, 0.974)
Pm (0.750, 0.150, 0.026)
Sm (0.509, 0.409, 0.767)
Sm (0.250, 0.250, 0.349)
Sm (0.750, 0.750, 0.651)
Sm (0.991, 0.409, 0.767)
Sm (0.750, 0.014, 0.384)
Sm (0.009, 0.591, 0.233)
Sm (0.491, 0.591, 0.233)
Sm (0.250, 0.986, 0.616)
Pt (0.250, 0.246, 0.993)
Pt (0.750, 0.754, 0.007)
Pt (0.750, 0.375, 0.406)
Pt (0.250, 0.625, 0.594)